{
  "formula": "KRb4Br2",
  "functional": "GGA-PBE",
  "state": "optimized geometry",
  "cell": [[7.3866, 0.0000, 0.0000], [0.0000, 7.3866, 0.0000], [3.6933, 3.6933, 9.6231]],
  "species": ["Br", "Rb", "Rb", "Rb", "K", "Rb", "Br"],
  "fractional_positions": [[0.4029, 0.4029, 0.1942], [0.2370, 0.2370, 0.5260], [0.5000, 0.0000, 0.0000], [0.7630, 0.7630, 0.4740], [0.0000, 0.0000, 0.0000], [0.0000, 0.5000, 0.0000], [0.5971, 0.5971, 0.8058]],
  "e_tot_ev_per_atom": -1.808,
  "total_magnetization_mub_per_cell": 0.00,
  "e_form_raw_mev_per_atom": -621,
  "rho_kg_m3": 1710
}

=====

{
  "formula": "K3Rb12Br5",
  "functional": "GGA-PBE",
  "state": "optimized geometry",
  "cell": [[19.8156, 0.0000, 0.0000], [-6.6052, 18.6824, 0.0000], [-6.6052, -9.3412, 16.1794]],
  "species": ["K", "Rb", "Rb", "Rb", "Br", "Rb", "Rb", "Rb", "Rb", "Rb", "Rb", "Rb", "Rb", "Br", "Rb", "Rb", "Rb", "Rb", "Br", "Rb", "Rb", "Rb", "Br", "Rb", "Rb", "Rb", "Rb", "Rb", "Rb", "Rb", "Br", "Br", "K", "K", "Br", "Rb", "Br", "Rb", "K", "K", "Rb", "K", "Rb", "K", "Rb", "Rb", "Br", "Rb", "Rb", "Rb", "Rb", "Br", "Br", "Rb", "Rb", "K", "Rb", "Br", "Rb", "Br", "Br", "Rb", "Br", "K", "Rb", "Br", "Br", "Rb", "Rb", "K", "Rb", "Br", "Br", "K", "Rb", "Rb", "Br", "Rb", "Rb", "K"],
  "fractional_positions": [[0.3750, 0.6250, 0.2500], [0.0935, 0.9122, 0.1039], [0.4122, 0.1039, 0.5935], [0.9896, 0.3961, 0.3083], [0.0000, 0.5000, 0.0000], [0.0878, 0.1814, 0.1917], [0.4122, 0.3083, 0.3186], [0.5935, 0.6039, 0.4122], [0.0104, 0.6039, 0.6917], [0.1039, 0.4122, 0.0935], [0.5104, 0.3186, 0.9065], [0.5104, 0.1917, 0.1039], [0.8186, 0.9122, 0.3083], [0.6250, 0.8750, 0.2500], [0.4065, 0.3961, 0.5878], [0.9065, 0.0878, 0.8961], [0.1917, 0.5104, 0.6039], [0.4896, 0.6814, 0.0935], [0.7500, 0.6250, 0.3750], [0.5878, 0.8961, 0.4065], [0.8961, 0.5878, 0.9065], [0.0104, 0.4065, 0.8186], [0.0000, 0.5000, 0.5000], [0.8961, 0.3083, 0.4896], [0.8083, 0.3186, 0.9122], [0.8186, 0.9065, 0.0104], [0.1917, 0.6814, 0.0878], [0.0935, 0.1814, 0.4896], [0.4065, 0.0104, 0.3186], [0.1814, 0.0878, 0.6917], [0.5000, 0.5000, 0.5000], [0.1250, 0.7500, 0.3750], [0.2500, 0.1250, 0.3750], [0.3750, 0.7500, 0.6250], [0.0000, 0.0000, 0.0000], [0.3186, 0.5104, 0.4065], [0.2500, 0.8750, 0.1250], [0.3083, 0.8961, 0.9896], [0.7500, 0.3750, 0.1250], [0.1250, 0.2500, 0.8750], [0.6039, 0.0104, 0.1917], [0.6250, 0.3750, 0.7500], [0.4896, 0.8083, 0.8961], [0.1250, 0.8750, 0.7500], [0.9122, 0.0935, 0.6039], [0.1814, 0.0935, 0.9896], [0.7500, 0.1250, 0.8750], [0.3961, 0.9896, 0.8083], [0.8083, 0.4896, 0.3961], [0.3083, 0.4122, 0.8186], [0.9896, 0.5935, 0.1814], [0.3750, 0.2500, 0.1250], [0.3750, 0.1250, 0.7500], [0.9122, 0.8186, 0.8083], [0.6814, 0.4896, 0.5935], [0.6250, 0.2500, 0.3750], [0.0878, 0.9065, 0.3961], [0.0000, 0.0000, 0.5000], [0.3961, 0.4065, 0.0878], [0.5000, 0.0000, 0.5000], [0.8750, 0.6250, 0.7500], [0.5935, 0.9896, 0.6814], [0.6250, 0.7500, 0.8750], [0.8750, 0.1250, 0.2500], [0.1039, 0.6917, 0.5104], [0.1250, 0.3750, 0.2500], [0.5000, 0.0000, 0.0000], [0.5878, 0.6917, 0.6814], [0.9065, 0.8186, 0.5104], [0.7500, 0.8750, 0.6250], [0.6917, 0.1039, 0.0104], [0.2500, 0.3750, 0.6250], [0.5000, 0.5000, 0.0000], [0.8750, 0.7500, 0.1250], [0.3186, 0.8083, 0.4122], [0.6814, 0.1917, 0.5878], [0.8750, 0.2500, 0.6250], [0.6039, 0.5935, 0.9122], [0.6917, 0.5878, 0.1814], [0.2500, 0.6250, 0.8750]],
  "e_tot_ev_per_atom": -1.911,
  "total_magnetization_mub_per_cell": 0.00,
  "e_form_raw_mev_per_atom": -747,
  "rho_kg_m3": 1710
}

=====

{
  "formula": "KRb2Br",
  "functional": "GGA-PBE",
  "state": "optimized geometry",
  "cell": [[4.3808, 0.0000, 0.0000], [0.0000, 4.3808, 0.0000], [0.0000, 0.0000, 12.0240]],
  "species": ["Br", "K", "Rb", "Rb"],
  "fractional_positions": [[0.5000, 0.5000, 0.0000], [0.5000, 0.5000, 0.5000], [0.0000, 0.0000, 0.1692], [0.0000, 0.0000, 0.8308]],
  "e_tot_ev_per_atom": -1.973,
  "total_magnetization_mub_per_cell": 0.00,
  "e_form_raw_mev_per_atom": -797,
  "rho_kg_m3": 2086
}